(1)
The following is a PBE calculation of a relaxed structure of Nb4OsW, from Alexandria via LeMat-Bulk.

Cell: 7.270 3.238 9.184 Å, 90.00 108.53 90.00°
Fractional coordinates of all 12 atoms:
Nb 0.000 0.000 0.000
Nb 0.000 0.000 0.500
Nb 0.000 0.500 0.249
Nb 0.000 0.500 0.751
Nb 0.338 0.500 0.585
Nb 0.339 0.500 0.084
Nb 0.661 0.500 0.916
Nb 0.662 0.500 0.415
Os 0.334 0.000 0.835
Os 0.666 0.000 0.165
W 0.335 0.000 0.333
W 0.665 0.000 0.667

Results
The distance to the lowest polymorph of the same formula comes out at 0 meV per atom. The calculation puts the total moment at 0.000 μB per atom. The calculation puts the calculated formation energy at -0.165 eV per atom.

---

(2)
The following is a PBE calculation of a relaxed structure of Nb2OsW, from Alexandria via LeMat-Bulk.

Cell: 4.553 4.553 3.209 Å, 90.00 90.00 90.00°
Fractional coordinates of all 4 atoms:
Nb 0.000 0.500 0.000
Nb 0.500 0.000 0.000
Os 0.000 0.000 0.500
W 0.500 0.500 0.500

Results
The calculation puts the total moment at 0.000 μB per atom. The calculation puts the calculated formation energy at -0.175 eV per atom.

---

(3)
The following is a PBE calculation of a relaxed structure of NbOs4W, from Alexandria via LeMat-Bulk.

Cell: 9.288 9.288 5.402 Å, 90.00 90.00 153.34°
Fractional coordinates of all 12 atoms:
Nb 0.062 0.938 0.500
Nb 0.938 0.062 0.000
Os 0.079 0.921 0.990
Os 0.208 0.792 0.580
Os 0.217 0.783 0.081
Os 0.345 0.655 0.823
Os 0.655 0.345 0.323
Os 0.783 0.217 0.581
Os 0.792 0.208 0.080
Os 0.921 0.079 0.490
W 0.349 0.651 0.330
W 0.651 0.349 0.830

Results
The calculation puts the total moment at 0.000 μB per atom. The calculation puts the calculated formation energy at 0.417 eV per atom.

---

(4)
The following is a PBE calculation of a relaxed structure of NbOs2W, from Alexandria via LeMat-Bulk.

Cell: 2.834 2.834 7.847 Å, 90.00 90.00 90.00°
Fractional coordinates of all 4 atoms:
Nb 0.000 0.000 0.000
Os 0.500 0.500 0.262
Os 0.500 0.500 0.738
W 0.000 0.000 0.500

Results
The distance to the lowest polymorph of the same formula comes out at 0 meV per atom. The calculation puts the total moment at 0.000 μB per atom. The calculation puts the calculated formation energy at 0.002 eV per atom.

---

(5)
The following is a PBE calculation of a relaxed structure of Nb6OsW2, from Alexandria via LeMat-Bulk.

Cell: 7.677 7.677 4.386 Å, 106.54 106.54 48.43°
Fractional coordinates of all 9 atoms:
Nb 0.082 0.586 0.334
Nb 0.249 0.751 0.000
Nb 0.414 0.918 0.666
Nb 0.586 0.082 0.334
Nb 0.751 0.249 0.000
Nb 0.918 0.414 0.666
Os 0.000 0.000 0.500
W 0.334 0.334 0.834
W 0.666 0.666 0.166

Results
The distance to the lowest polymorph of the same formula comes out at 686 meV per atom. The calculation puts the total moment at 0.000 μB per atom. The calculation puts the calculated formation energy at 0.525 eV per atom.

---

(6)
The following is a PBE calculation of a relaxed structure of NbOsW2, from Alexandria via LeMat-Bulk.

Cell: 5.823 5.823 5.823 Å, 101.89 101.89 126.01°
Fractional coordinates of all 8 atoms:
Nb 0.000 0.000 0.000
Nb 0.750 0.250 0.500
Os 0.250 0.750 0.500
Os 0.500 0.500 0.000
W 0.147 0.625 0.022
W 0.375 0.397 0.522
W 0.603 0.125 0.978
W 0.875 0.853 0.478

Results
The distance to the lowest polymorph of the same formula comes out at 718 meV per atom. The calculation puts the total moment at 0.000 μB per atom. The calculation puts the calculated formation energy at 0.788 eV per atom.

---

(7)
The following is a PBE calculation of a relaxed structure of NbOsW2, from Alexandria via LeMat-Bulk.

Cell: 4.500 4.500 4.500 Å, 60.00 60.00 60.00°
Fractional coordinates of all 4 atoms:
Nb 0.000 0.000 0.000
Os 0.500 0.500 0.500
W 0.250 0.250 0.250
W 0.750 0.750 0.750

Results
The distance to the lowest polymorph of the same formula comes out at 0 meV per atom. The calculation puts the total moment at 0.000 μB per atom. The calculation puts the calculated formation energy at 0.070 eV per atom.

---

(8)
The following is a PBE calculation of a relaxed structure of NbOs2W, from Alexandria via LeMat-Bulk.

Cell: 4.475 4.475 4.475 Å, 60.00 60.00 60.00°
Fractional coordinates of all 4 atoms:
Nb 0.000 0.000 0.000
Os 0.250 0.250 0.250
Os 0.750 0.750 0.750
W 0.500 0.500 0.500

Results
The distance to the lowest polymorph of the same formula comes out at 182 meV per atom. The calculation puts the total moment at 0.000 μB per atom. The calculation puts the calculated formation energy at 0.184 eV per atom.